The following is a PBE-GGA calculation of a relaxed structure of LiTm3In4Te8, from Alexandria.

Properties
Magnetic moment in μB per formula unit: 0.00
Formation energy without anion corrections in meV per atom: -815
Calculated density in g cm⁻³: 6.49

a b c (Å): 8.7845 8.7845 22.8979
angles (deg): 90.00 90.00 120.00
Space group R-3m (No. 166, hexagonal axes)
One atom of each set of equivalent atoms:
Li 0.0000 0.0000 0.0000 (multiplicity 3)
Tm 0.0000 0.5000 0.0000 (multiplicity 9)
In 0.0000 0.0000 0.5000 (multiplicity 3)
In 0.0000 0.5000 0.5000 (multiplicity 9)
Te 0.0000 0.0000 0.2585 (multiplicity 6)
Te 0.0082 0.5041 0.2568 (multiplicity 18)